Ho6Fe23 at its PBEsol-relaxed geometry, computed with meta-GGA SCAN.

abc: 8.245 8.245 8.245
angles: 60.00 60.00 60.00
Fractional positions:
1 Ho 0.209 0.209 0.791
2 Ho 0.209 0.791 0.209
3 Ho 0.209 0.791 0.791
4 Ho 0.791 0.209 0.209
5 Ho 0.791 0.209 0.791
6 Ho 0.791 0.791 0.209
7 Fe 0.000 0.000 0.500
8 Fe 0.000 0.500 0.000
9 Fe 0.000 0.500 0.500
10 Fe 0.134 0.622 0.622
11 Fe 0.175 0.175 0.175
12 Fe 0.175 0.175 0.475
13 Fe 0.175 0.475 0.175
14 Fe 0.378 0.378 0.378
15 Fe 0.378 0.378 0.866
16 Fe 0.378 0.866 0.378
17 Fe 0.475 0.175 0.175
18 Fe 0.500 0.000 0.000
19 Fe 0.500 0.000 0.500
20 Fe 0.500 0.500 0.000
21 Fe 0.500 0.500 0.500
22 Fe 0.525 0.825 0.825
23 Fe 0.622 0.134 0.622
24 Fe 0.622 0.622 0.134
25 Fe 0.622 0.622 0.622
26 Fe 0.825 0.525 0.825
27 Fe 0.825 0.825 0.525
28 Fe 0.825 0.825 0.825
29 Fe 0.866 0.378 0.378

Size of the total moment ... 53.1 μB per cell
Electronic total energy ... -24.552 eV per atom
ΔE_f ... -3.7 kJ per mole of atoms
Symmetry ... Fm-3m (225)